Record 1
# PBE BaZrSeS2, optimized geometry
# Mass density ... 4.5 g/cm3
# Total moment ... 0.0 μB per cell
# E_form (uncorrected) ... -1.700 eV per atom
data_BaZrSeS2
_chemical_formula_sum 'Ba1 Zr1 Se1 S2'
_cell_length_a 5.044
_cell_length_b 5.044
_cell_length_c 5.335
_cell_angle_alpha 90.00
_cell_angle_beta 90.00
_cell_angle_gamma 90.00
_symmetry_space_group_name_H-M 'P 4/m m m'
_symmetry_Int_Tables_number 123
_symmetry_space_group_name_Hall '-P 4 2'
loop_
_atom_site_label
_atom_site_type_symbol
_atom_site_fract_x
_atom_site_fract_y
_atom_site_fract_z
_atom_site_occupancy
Ba1 Ba 0.000 0.000 0.000 1
Zr1 Zr 0.500 0.500 0.500 1
Se1 Se 0.500 0.500 0.000 1
S1 S 0.000 0.500 0.500 1

Record 2
# PBE YGeRh2, optimized geometry
# Calculated total energy ... -57.4 eV per cell
# Mass density ... 8.2 g/cm3
# Total moment ... 0.0 μB per cell
data_YGeRh2
_chemical_formula_sum 'Y2 Ge2 Rh4'
_cell_length_a 3.943
_cell_length_b 3.943
_cell_length_c 9.604
_cell_angle_alpha 90.00
_cell_angle_beta 90.00
_cell_angle_gamma 90.00
_symmetry_space_group_name_H-M 'P 4/n m m'
_symmetry_Int_Tables_number 129
loop_
_symmetry_equiv_pos_as_xyz
'x,y,z'
'-x,-y,-z'
'-y+1/2,x,z'
'y+1/2,-x,-z'
'-x+1/2,-y+1/2,z'
'x+1/2,y+1/2,-z'
'y,-x+1/2,z'
'-y,x+1/2,-z'
'x+1/2,-y,-z'
'-x+1/2,y,z'
'-y,-x,-z'
'y,x,z'
'-x,y+1/2,-z'
'x,-y+1/2,z'
'y+1/2,x+1/2,-z'
'-y+1/2,-x+1/2,z'
loop_
_atom_site_label
_atom_site_type_symbol
_atom_site_fract_x
_atom_site_fract_y
_atom_site_fract_z
_atom_site_occupancy
Y1 Y 0.250 0.250 0.202 1
Ge1 Ge 0.250 0.250 0.653 1
Rh1 Rh 0.250 0.250 0.907 1
Rh2 Rh 0.250 0.750 0.500 1

Record 3
# PBE USbRu, optimized geometry
# Mass density ... 12.3 g/cm3
# Total moment ... 1.5 μB per cell
# E_form (uncorrected) ... -0.225 eV per atom
data_USbRu
_chemical_formula_sum 'U1 Sb1 Ru1'
_cell_length_a 4.6096
_cell_length_b 4.6096
_cell_length_c 3.3867
_cell_angle_alpha 90.00
_cell_angle_beta 90.00
_cell_angle_gamma 120.00
_symmetry_space_group_name_H-M 'P -6 m 2'
_symmetry_Int_Tables_number 187
_symmetry_space_group_name_Hall 'P -6 2'
loop_
_atom_site_label
_atom_site_type_symbol
_atom_site_fract_x
_atom_site_fract_y
_atom_site_fract_z
_atom_site_occupancy
U1 U 0.0000 0.0000 0.0000 1
Sb1 Sb 0.6667 0.3333 0.5000 1
Ru1 Ru 0.3333 0.6667 0.5000 1

Record 4
# PBE Ba8P3AuCl4, optimized geometry
# Mass density ... 4.4 g/cm3
# Total moment ... 5.6 μB per cell
# E_form (uncorrected) ... -1.534 eV per atom
data_Ba8P3AuCl4
_chemical_formula_sum 'Ba24 P9 Au3 Cl12'
_cell_length_a 9.3460
_cell_length_b 9.3460
_cell_length_c 23.1439
_cell_angle_alpha 90.00
_cell_angle_beta 90.00
_cell_angle_gamma 120.00
_symmetry_space_group_name_H-M 'R -3 m'
_symmetry_Int_Tables_number 166
_symmetry_space_group_name_Hall '-R 3 2"'
loop_
_atom_site_label
_atom_site_type_symbol
_atom_site_fract_x
_atom_site_fract_y
_atom_site_fract_z
_atom_site_occupancy
Ba1 Ba 0.0000 0.0000 0.2413 1
Ba2 Ba 0.0089 0.5044 0.7572 1
P1 P 0.0000 0.5000 0.5000 1
Au1 Au 0.0000 0.0000 0.5000 1
Cl1 Cl 0.0000 0.0000 0.0000 1
Cl2 Cl 0.0000 0.5000 0.0000 1

Record 5
# PBE Na2Sn5Au3, optimized geometry
# Mass density ... 8.4 g/cm3
# Total moment ... 0.0 μB per cell
# Excess energy over the best structure of this formula in the dataset ... 0.000 eV per atom
data_Na2Sn5Au3
_chemical_formula_sum 'Na8 Sn20 Au12'
_cell_length_a 4.645
_cell_length_b 27.396
_cell_length_c 7.666
_cell_angle_alpha 90.00
_cell_angle_beta 90.00
_cell_angle_gamma 90.00
_symmetry_space_group_name_H-M 'C m c 21'
_symmetry_Int_Tables_number 36
_symmetry_space_group_name_Hall 'C 2c -2'
loop_
_atom_site_label
_atom_site_type_symbol
_atom_site_fract_x
_atom_site_fract_y
_atom_site_fract_z
_atom_site_occupancy
Na1 Na 0.000 0.023 0.000 1
Na2 Na 0.000 0.327 0.063 1
Sn1 Sn 0.000 0.097 0.379 1
Sn2 Sn 0.000 0.206 0.276 1
Sn3 Sn 0.000 0.206 0.852 1
Sn4 Sn 0.000 0.382 0.496 1
Sn5 Sn 0.000 0.451 0.160 1
Au1 Au 0.000 0.107 0.749 1
Au2 Au 0.000 0.277 0.566 1
Au3 Au 0.000 0.452 0.780 1

Record 6
# PBE Si23O, optimized geometry
# Mass density ... 2.1 g/cm3
# Total moment ... 3.2 μB per cell
# E_form (uncorrected) ... 0.141 eV per atom
data_Si23O
_chemical_formula_sum 'Si46 O2'
_cell_length_a 10.198
_cell_length_b 10.198
_cell_length_c 10.198
_cell_angle_alpha 90.00
_cell_angle_beta 90.00
_cell_angle_gamma 90.00
_symmetry_space_group_name_H-M 'P m -3 n'
_symmetry_Int_Tables_number 223
_symmetry_space_group_name_Hall '-P 4n 2 3'
loop_
_atom_site_label
_atom_site_type_symbol
_atom_site_fract_x
_atom_site_fract_y
_atom_site_fract_z
_atom_site_occupancy
Si1 Si 0.000 0.117 0.308 1
Si2 Si 0.000 0.250 0.500 1
Si3 Si 0.182 0.182 0.182 1
O1 O 0.000 0.000 0.000 1

Record 7
# PBE Dy8Ho5Er, optimized geometry
# Calculated total energy ... -121.3 eV per cell
# Mass density ... 8.4 g/cm3
# Total moment ... 0.0 μB per cell
data_Dy8Ho5Er
_chemical_formula_sum 'Dy16 Ho10 Er2'
_cell_length_a 9.493
_cell_length_b 9.493
_cell_length_c 10.017
_cell_angle_alpha 90.00
_cell_angle_beta 90.00
_cell_angle_gamma 90.00
_symmetry_space_group_name_H-M 'I -4'
_symmetry_Int_Tables_number 82
_symmetry_space_group_name_Hall 'I -4'
loop_
_atom_site_label
_atom_site_type_symbol
_atom_site_fract_x
_atom_site_fract_y
_atom_site_fract_z
_atom_site_occupancy
Dy1 Dy 0.070 0.324 0.095 1
Dy2 Dy 0.089 0.174 0.753 1
Ho1 Ho 0.000 0.000 0.000 1
Ho2 Ho 0.110 0.210 0.425 1
Er1 Er 0.000 0.500 0.750 1

Record 8
# PBE Sr2AlGeN, optimized geometry
# Mass density ... 2.8 g/cm3
# Total moment ... 1.6 μB per cell
# E_form (uncorrected) ... 0.837 eV per atom
data_Sr2AlGeN
_chemical_formula_sum 'Sr2 Al1 Ge1 N1'
_cell_length_a 6.045
_cell_length_b 6.045
_cell_length_c 4.689
_cell_angle_alpha 90.00
_cell_angle_beta 90.00
_cell_angle_gamma 90.00
_symmetry_space_group_name_H-M 'P 4/m m m'
_symmetry_Int_Tables_number 123
_symmetry_space_group_name_Hall '-P 4 2'
loop_
_atom_site_label
_atom_site_type_symbol
_atom_site_fract_x
_atom_site_fract_y
_atom_site_fract_z
_atom_site_occupancy
Sr1 Sr 0.000 0.500 0.000 1
Al1 Al 0.000 0.000 0.000 1
Ge1 Ge 0.000 0.000 0.500 1
N1 N 0.500 0.500 0.500 1

Record 9
# PBE TlHg3, optimized geometry
# Calculated total energy ... -6.4 eV per cell
# Mass density ... 11.7 g/cm3
# Total moment ... 0.0 μB per cell
data_TlHg3
_chemical_formula_sum 'Tl2 Hg6'
_cell_length_a 6.120
_cell_length_b 6.120
_cell_length_c 6.120
_cell_angle_alpha 90.00
_cell_angle_beta 90.00
_cell_angle_gamma 90.00
_symmetry_space_group_name_H-M 'P m -3 n'
_symmetry_Int_Tables_number 223
_symmetry_space_group_name_Hall '-P 4n 2 3'
loop_
_atom_site_label
_atom_site_type_symbol
_atom_site_fract_x
_atom_site_fract_y
_atom_site_fract_z
_atom_site_occupancy
Tl1 Tl 0.000 0.000 0.000 1
Hg1 Hg 0.000 0.250 0.500 1

Record 10
# PBE Sr2In3Ag, optimized geometry
# Mass density ... 5.9 g/cm3
# Total moment ... 0.0 μB per cell
# Excess energy over the best structure of this formula in the dataset ... 0.000 eV per atom
data_Sr2In3Ag
_chemical_formula_sum 'Sr4 In6 Ag2'
_cell_length_a 11.741
_cell_length_b 5.015
_cell_length_c 7.999
_cell_angle_alpha 90.00
_cell_angle_beta 131.89
_cell_angle_gamma 90.00
_symmetry_space_group_name_H-M 'C 1 m 1'
_symmetry_Int_Tables_number 8
_symmetry_space_group_name_Hall 'C -2y'
loop_
_atom_site_label
_atom_site_type_symbol
_atom_site_fract_x
_atom_site_fract_y
_atom_site_fract_z
_atom_site_occupancy
Sr1 Sr 0.000 0.000 0.000 1
Sr2 Sr 0.087 0.000 0.589 1
In1 In 0.197 0.500 0.997 1
In2 In 0.216 0.500 0.409 1
In3 In 0.382 0.000 0.192 1
Ag1 Ag 0.377 0.000 0.577 1

Record 11
# PBE ZrNi2Ag, optimized geometry
# Mass density ... 7.9 g/cm3
# Total moment ... 0.0 μB per cell
# Excess energy over the best structure of this formula in the dataset ... 0.406 eV per atom
data_ZrNi2Ag
_chemical_formula_sum 'Zr4 Ni8 Ag4'
_cell_length_a 6.913
_cell_length_b 6.913
_cell_length_c 5.541
_cell_angle_alpha 90.00
_cell_angle_beta 90.00
_cell_angle_gamma 90.00
_symmetry_space_group_name_H-M 'I -4 2 d'
_symmetry_Int_Tables_number 122
_symmetry_space_group_name_Hall 'I -4 2bw'
loop_
_atom_site_label
_atom_site_type_symbol
_atom_site_fract_x
_atom_site_fract_y
_atom_site_fract_z
_atom_site_occupancy
Zr1 Zr 0.000 0.000 0.000 1
Ni1 Ni 0.246 0.250 0.125 1
Ag1 Ag 0.000 0.000 0.500 1

Record 12
# PBE KAsPdSe2, optimized geometry
# Mass density ... 3.8 g/cm3
# Total moment ... 0.0 μB per cell
# E_form (uncorrected) ... 1.453 eV per atom
# Excess energy over the best structure of this formula in the dataset ... 1.575 eV per atom
data_KAsPdSe2
_chemical_formula_sum 'K1 As1 Pd1 Se2'
_cell_length_a 5.539
_cell_length_b 5.539
_cell_length_c 5.396
_cell_angle_alpha 90.00
_cell_angle_beta 90.00
_cell_angle_gamma 90.00
_symmetry_space_group_name_H-M 'P 4/m m m'
_symmetry_Int_Tables_number 123
_symmetry_space_group_name_Hall '-P 4 2'
loop_
_atom_site_label
_atom_site_type_symbol
_atom_site_fract_x
_atom_site_fract_y
_atom_site_fract_z
_atom_site_occupancy
K1 K 0.000 0.000 0.000 1
As1 As 0.000 0.000 0.500 1
Pd1 Pd 0.500 0.500 0.500 1
Se1 Se 0.000 0.500 0.000 1

Record 13
# PBE Zr2ZnBi, optimized geometry
# Mass density ... 8.1 g/cm3
# Total moment ... 0.0 μB per cell
# Excess energy over the best structure of this formula in the dataset ... 0.092 eV per atom
data_Zr2ZnBi
_chemical_formula_sum 'Zr6 Zn3 Bi3'
_cell_length_a 3.9189
_cell_length_b 3.9189
_cell_length_c 21.2447
_cell_angle_alpha 90.00
_cell_angle_beta 90.00
_cell_angle_gamma 120.00
_symmetry_space_group_name_H-M 'R -3 m'
_symmetry_Int_Tables_number 166
_symmetry_space_group_name_Hall '-R 3 2"'
loop_
_atom_site_label
_atom_site_type_symbol
_atom_site_fract_x
_atom_site_fract_y
_atom_site_fract_z
_atom_site_occupancy
Zr1 Zr 0.0000 0.0000 0.2421 1
Zn1 Zn 0.0000 0.0000 0.5000 1
Bi1 Bi 0.0000 0.0000 0.0000 1

Record 14
# PBE Sr2YAu4, optimized geometry
# Calculated total energy ... -54.7 eV per cell
# Mass density ... 8.9 g/cm3
# Total moment ... 0.0 μB per cell
data_Sr2YAu4
_chemical_formula_sum 'Sr4 Y2 Au8'
_cell_length_a 5.358
_cell_length_b 5.358
_cell_length_c 13.695
_cell_angle_alpha 90.00
_cell_angle_beta 90.00
_cell_angle_gamma 90.00
_symmetry_space_group_name_H-M 'I 4/m m m'
_symmetry_Int_Tables_number 139
_symmetry_space_group_name_Hall '-I 4 2'
loop_
_atom_site_label
_atom_site_type_symbol
_atom_site_fract_x
_atom_site_fract_y
_atom_site_fract_z
_atom_site_occupancy
Sr1 Sr 0.000 0.000 0.223 1
Y1 Y 0.000 0.000 0.500 1
Au1 Au 0.000 0.500 0.105 1

Record 15
# PBE Pd5Pb3Br12, optimized geometry
# Mass density ... 6.0 g/cm3
# Total moment ... 0.0 μB per cell
# E_form (uncorrected) ... -0.360 eV per atom
data_Pd5Pb3Br12
_chemical_formula_sum 'Pd40 Pb24 Br96'
_cell_length_a 16.727
_cell_length_b 16.727
_cell_length_c 16.727
_cell_angle_alpha 90.00
_cell_angle_beta 90.00
_cell_angle_gamma 90.00
_symmetry_space_group_name_H-M 'I a -3 d'
_symmetry_Int_Tables_number 230
_symmetry_space_group_name_Hall '-I 4bd 2c 3'
loop_
_atom_site_label
_atom_site_type_symbol
_atom_site_fract_x
_atom_site_fract_y
_atom_site_fract_z
_atom_site_occupancy
Pd1 Pd 0.000 0.000 0.000 1
Pd2 Pd 0.000 0.250 0.375 1
Pb1 Pb 0.000 0.250 0.125 1
Br1 Br 0.026 0.055 0.647 1

Record 16
# PBE EuTlHgRh, optimized geometry
# Calculated total energy ... -83.4 eV per cell
# Mass density ... 11.8 g/cm3
# Total moment ... 27.4 μB per cell
data_EuTlHgRh
_chemical_formula_sum 'Eu4 Tl4 Hg4 Rh4'
_cell_length_a 7.189
_cell_length_b 7.189
_cell_length_c 7.189
_cell_angle_alpha 90.00
_cell_angle_beta 90.00
_cell_angle_gamma 90.00
_symmetry_space_group_name_H-M 'F -4 3 m'
_symmetry_Int_Tables_number 216
_symmetry_space_group_name_Hall 'F -4 2 3'
loop_
_atom_site_label
_atom_site_type_symbol
_atom_site_fract_x
_atom_site_fract_y
_atom_site_fract_z
_atom_site_occupancy
Eu1 Eu 0.000 0.000 0.000 1
Tl1 Tl 0.000 0.000 0.500 1
Hg1 Hg 0.250 0.250 0.750 1
Rh1 Rh 0.250 0.250 0.250 1

Record 17
# PBE TlOsRh2, optimized geometry
# Mass density ... 15.6 g/cm3
# Total moment ... 0.0 μB per cell
# Excess energy over the best structure of this formula in the dataset ... 0.198 eV per atom
data_TlOsRh2
_chemical_formula_sum 'Tl2 Os2 Rh4'
_cell_length_a 5.727
_cell_length_b 7.804
_cell_length_c 2.857
_cell_angle_alpha 90.00
_cell_angle_beta 90.00
_cell_angle_gamma 90.00
_symmetry_space_group_name_H-M 'C m m m'
_symmetry_Int_Tables_number 65
_symmetry_space_group_name_Hall '-C 2 2'
loop_
_atom_site_label
_atom_site_type_symbol
_atom_site_fract_x
_atom_site_fract_y
_atom_site_fract_z
_atom_site_occupancy
Tl1 Tl 0.000 0.000 0.000 1
Os1 Os 0.000 0.500 0.000 1
Rh1 Rh 0.250 0.250 0.500 1

Record 18
# PBE CoW2Se, optimized geometry
# Mass density ... 14.3 g/cm3
# Total moment ... 0.1 μB per cell
# E_form (uncorrected) ... 0.387 eV per atom
data_CoW2Se
_chemical_formula_sum 'Co1 W2 Se1'
_cell_length_a 2.919
_cell_length_b 4.162
_cell_length_c 5.007
_cell_angle_alpha 90.00
_cell_angle_beta 104.46
_cell_angle_gamma 90.00
_symmetry_space_group_name_H-M 'P 1 m 1'
_symmetry_Int_Tables_number 6
_symmetry_space_group_name_Hall 'P -2y'
loop_
_atom_site_label
_atom_site_type_symbol
_atom_site_fract_x
_atom_site_fract_y
_atom_site_fract_z
_atom_site_occupancy
Co1 Co 0.000 0.000 0.000 1
W1 W 0.396 0.500 0.750 1
W2 W 0.658 0.000 0.479 1
Se1 Se 0.092 0.500 0.215 1

Record 19
# PBE NaGd2In, optimized geometry
# Mass density ... 6.6 g/cm3
# Total moment ... 15.1 μB per cell
# Excess energy over the best structure of this formula in the dataset ... 0.036 eV per atom
data_NaGd2In
_chemical_formula_sum 'Na1 Gd2 In1'
_cell_length_a 5.069
_cell_length_b 5.069
_cell_length_c 4.435
_cell_angle_alpha 90.00
_cell_angle_beta 90.00
_cell_angle_gamma 90.00
_symmetry_space_group_name_H-M 'P 4/m m m'
_symmetry_Int_Tables_number 123
_symmetry_space_group_name_Hall '-P 4 2'
loop_
_atom_site_label
_atom_site_type_symbol
_atom_site_fract_x
_atom_site_fract_y
_atom_site_fract_z
_atom_site_occupancy
Na1 Na 0.000 0.000 0.000 1
Gd1 Gd 0.000 0.500 0.500 1
In1 In 0.500 0.500 0.000 1

Record 20
# PBE BeZnInNiPd, optimized geometry
# Mass density ... 7.8 g/cm3
# Total moment ... 0.0 μB per cell
# Excess energy over the best structure of this formula in the dataset ... 0.079 eV per atom
data_BeZnInNiPd
_chemical_formula_sum 'Be1 Zn1 In1 Ni1 Pd1'
_cell_length_a 2.866
_cell_length_b 4.428
_cell_length_c 6.162
_cell_angle_alpha 81.68
_cell_angle_beta 76.87
_cell_angle_gamma 89.88
_symmetry_space_group_name_H-M 'P 1'
_symmetry_Int_Tables_number 1
_symmetry_space_group_name_Hall 'P 1'
loop_
_atom_site_label
_atom_site_type_symbol
_atom_site_fract_x
_atom_site_fract_y
_atom_site_fract_z
_atom_site_occupancy
Be1 Be 0.000 0.000 0.000 1
Zn1 Zn 0.858 0.448 0.287 1
In1 In 0.135 0.554 0.726 1
Ni1 Ni 0.642 0.058 0.711 1
Pd1 Pd 0.351 0.951 0.303 1